# 1
# Li4ZnNi5 (PBE-GGA, relaxed)
data_Li4ZnNi5
_chemical_formula_sum 'Li8 Zn2 Ni10'
_symmetry_space_group_name_H-M 'P 1 2/c 1'
_symmetry_Int_Tables_number 13
_cell_length_a 4.901
_cell_length_b 8.742
_cell_length_c 7.094
_cell_angle_alpha 90.00
_cell_angle_beta 119.62
_cell_angle_gamma 90.00
loop_
_symmetry_equiv_pos_as_xyz
'x,y,z'
'-x,-y,-z'
'-x,y,-z+1/2'
'x,-y,z+1/2'
loop_
_atom_site_label
_atom_site_fract_x
_atom_site_fract_y
_atom_site_fract_z
Li1 0.219 0.002 0.457
Li2 0.265 0.488 0.778
Zn1 0.500 0.216 0.750
Ni1 0.000 0.236 0.750
Ni2 0.004 0.266 0.084
Ni3 0.498 0.254 0.413
# DOS at the Fermi energy in states/eV per atom: 0.66
# E_tot in eV per atom: -3.805
# Calculated formation energy in eV per atom: -0.022
# Calculated volume in A^3/atom: 13.212



# 2
# Na4Nd3PbO8 (PBE-GGA, relaxed)
data_Na4Nd3PbO8
_chemical_formula_sum 'Na12 Nd9 Pb3 O24'
_symmetry_space_group_name_H-M 'R -3 m'
_symmetry_Int_Tables_number 166
_symmetry_space_group_name_Hall '-R 3 2"'
_cell_length_a 7.1381
_cell_length_b 7.1381
_cell_length_c 17.0302
_cell_angle_alpha 90.00
_cell_angle_beta 90.00
_cell_angle_gamma 120.00
loop_
_atom_site_label
_atom_site_fract_x
_atom_site_fract_y
_atom_site_fract_z
Na1 0.0000 0.0000 0.0000
Na2 0.0000 0.5000 0.0000
Nd1 0.0000 0.5000 0.5000
Pb1 0.0000 0.0000 0.5000
O1 0.0000 0.0000 0.2380
O2 0.0038 0.5019 0.7588
# DOS at the Fermi energy in states/eV per atom: 0.12
# E_tot in eV per atom: -6.171
# Calculated volume in A^3/atom: 15.657
# Formation energy from raw total energies in meV per atom: -2237



# 3
# TaOs (PBE-GGA, relaxed)
data_TaOs
_chemical_formula_sum 'Ta4 Os4'
_symmetry_space_group_name_H-M 'I m m a'
_symmetry_Int_Tables_number 74
_symmetry_space_group_name_Hall '-I 2b 2'
_cell_length_a 3.170
_cell_length_b 4.458
_cell_length_c 9.228
_cell_angle_alpha 90.00
_cell_angle_beta 90.00
_cell_angle_gamma 90.00
loop_
_atom_site_label
_atom_site_fract_x
_atom_site_fract_y
_atom_site_fract_z
Ta1 0.000 0.250 0.125
Os1 0.000 0.250 0.614
# DOS at the Fermi energy in states/eV per atom: 0.65
# E_tot in eV per atom: -11.707
# Calculated formation energy in eV per atom: -0.165
# Calculated volume in A^3/atom: 16.302